Entry 1:
# GGA-PBE Al2Ga8Ag, relaxed
# ρ: 5.7 g/cm3
# Formation energy from the elements: 0.07 eV per atom
data_Al2Ga8Ag
_cell_length_a 4.669
_cell_length_b 4.669
_cell_length_c 9.629
_cell_angle_alpha 90.00
_cell_angle_beta 90.00
_cell_angle_gamma 90.00
_symmetry_space_group_name_H-M 'P 4/m m m'
_symmetry_Int_Tables_number 123
_symmetry_space_group_name_Hall '-P 4 2'
loop_
_atom_site_label
_atom_site_type_symbol
_atom_site_fract_x
_atom_site_fract_y
_atom_site_fract_z
_atom_site_occupancy
Al1 Al 0.000 0.000 0.162 1
Ga1 Ga 0.000 0.500 0.000 1
Ga2 Ga 0.000 0.500 0.345 1
Ga3 Ga 0.500 0.500 0.175 1
Ag1 Ag 0.000 0.000 0.500 1



Entry 2:
# GGA-PBE AcNd2Tm, relaxed
# ρ: 7.9 g/cm3
# Formation energy from the elements: 0.03 eV per atom
data_AcNd2Tm
_cell_length_a 5.222
_cell_length_b 5.222
_cell_length_c 5.272
_cell_angle_alpha 90.00
_cell_angle_beta 90.00
_cell_angle_gamma 90.00
_symmetry_space_group_name_H-M 'P 4/m m m'
_symmetry_Int_Tables_number 123
_symmetry_space_group_name_Hall '-P 4 2'
loop_
_atom_site_label
_atom_site_type_symbol
_atom_site_fract_x
_atom_site_fract_y
_atom_site_fract_z
_atom_site_occupancy
Ac1 Ac 0.000 0.000 0.000 1
Nd1 Nd 0.000 0.500 0.500 1
Tm1 Tm 0.500 0.500 0.000 1



Entry 3:
# GGA-PBE Li5Ag4, relaxed
# ρ: 4.7 g/cm3
# Formation energy from the elements: -0.13 eV per atom
data_Li5Ag4
_cell_length_a 7.697
_cell_length_b 4.438
_cell_length_c 10.011
_cell_angle_alpha 90.00
_cell_angle_beta 104.69
_cell_angle_gamma 90.00
_symmetry_space_group_name_H-M 'C 1 2/m 1'
_symmetry_Int_Tables_number 12
_symmetry_space_group_name_Hall '-C 2y'
loop_
_atom_site_label
_atom_site_type_symbol
_atom_site_fract_x
_atom_site_fract_y
_atom_site_fract_z
_atom_site_occupancy
Li1 Li 0.000 0.000 0.000 1
Li2 Li 0.145 0.000 0.436 1
Li3 Li 0.239 0.500 0.218 1
Ag1 Ag 0.047 0.500 0.641 1
Ag2 Ag 0.142 0.500 0.925 1



Entry 4:
# GGA-PBE Rb2CdAuO4, relaxed
# ρ: 3.9 g/cm3
# Formation energy without anion corrections: -0.7043 eV/atom
data_Rb2CdAuO4
_cell_length_a 6.300
_cell_length_b 14.255
_cell_length_c 20.580
_cell_angle_alpha 90.00
_cell_angle_beta 90.00
_cell_angle_gamma 90.00
_symmetry_space_group_name_H-M 'F d d d'
_symmetry_Int_Tables_number 70
loop_
_symmetry_equiv_pos_as_xyz
'x,y,z'
'-x,-y,-z'
'-x+1/4,-y+1/4,z'
'x+1/4,y+1/4,-z'
'x,-y+1/4,-z+1/4'
'-x,y+1/4,z+1/4'
'-x+1/4,y,-z+1/4'
'x+1/4,-y,z+1/4'
'x,y+1/2,z+1/2'
'-x,-y+1/2,-z+1/2'
'-x+1/4,-y+3/4,z+1/2'
'x+1/4,y+3/4,-z+1/2'
'x,-y+3/4,-z+3/4'
'-x,y+3/4,z+3/4'
'-x+1/4,y+1/2,-z+3/4'
'x+1/4,-y+1/2,z+3/4'
'x+1/2,y,z+1/2'
'-x+1/2,-y,-z+1/2'
'-x+3/4,-y+1/4,z+1/2'
'x+3/4,y+1/4,-z+1/2'
'x+1/2,-y+1/4,-z+3/4'
'-x+1/2,y+1/4,z+3/4'
'-x+3/4,y,-z+3/4'
'x+3/4,-y,z+3/4'
'x+1/2,y+1/2,z'
'-x+1/2,-y+1/2,-z'
'-x+3/4,-y+3/4,z'
'x+3/4,y+3/4,-z'
'x+1/2,-y+3/4,-z+1/4'
'-x+1/2,y+3/4,z+1/4'
'-x+3/4,y+1/2,-z+1/4'
'x+3/4,-y+1/2,z+1/4'
loop_
_atom_site_label
_atom_site_type_symbol
_atom_site_fract_x
_atom_site_fract_y
_atom_site_fract_z
_atom_site_occupancy
Rb1 Rb 0.125 0.125 0.302 1
Cd1 Cd 0.125 0.125 0.125 1
Au1 Au 0.125 0.125 0.625 1
O1 O 0.108 0.279 0.874 1



Entry 5:
# GGA-PBE VInTcAs2, relaxed
# ρ: 6.6 g/cm3
# Formation energy from the elements: 0.62 eV per atom
data_VInTcAs2
_cell_length_a 4.692
_cell_length_b 4.692
_cell_length_c 4.707
_cell_angle_alpha 90.00
_cell_angle_beta 90.00
_cell_angle_gamma 90.00
_symmetry_space_group_name_H-M 'P 4/m m m'
_symmetry_Int_Tables_number 123
_symmetry_space_group_name_Hall '-P 4 2'
loop_
_atom_site_label
_atom_site_type_symbol
_atom_site_fract_x
_atom_site_fract_y
_atom_site_fract_z
_atom_site_occupancy
V1 V 0.000 0.000 0.000 1
In1 In 0.500 0.500 0.500 1
Tc1 Tc 0.000 0.000 0.500 1
As1 As 0.000 0.500 0.000 1



Entry 6:
# GGA-PBE TmIn2Au2, relaxed
# ρ: 11.2 g/cm3
# Formation energy from the elements: -0.53 eV per atom
data_TmIn2Au2
_cell_length_a 4.927
_cell_length_b 4.870
_cell_length_c 9.789
_cell_angle_alpha 90.00
_cell_angle_beta 90.03
_cell_angle_gamma 90.00
_symmetry_space_group_name_H-M 'P 1 21/m 1'
_symmetry_Int_Tables_number 11
_symmetry_space_group_name_Hall '-P 2yb'
loop_
_atom_site_label
_atom_site_type_symbol
_atom_site_fract_x
_atom_site_fract_y
_atom_site_fract_z
_atom_site_occupancy
Tm1 Tm 0.249 0.250 0.327 1
In1 In 0.251 0.250 0.674 1
In2 In 0.251 0.250 0.993 1
Au1 Au 0.249 0.750 0.159 1
Au2 Au 0.251 0.750 0.516 1



Entry 7:
# GGA-PBE Ac3V5Se12, relaxed
# ρ: 5.9 g/cm3
# Formation energy without anion corrections: -1.1027 eV/atom
data_Ac3V5Se12
_cell_length_a 16.209
_cell_length_b 16.209
_cell_length_c 16.209
_cell_angle_alpha 90.00
_cell_angle_beta 90.00
_cell_angle_gamma 90.00
_symmetry_space_group_name_H-M 'I a -3 d'
_symmetry_Int_Tables_number 230
_symmetry_space_group_name_Hall '-I 4bd 2c 3'
loop_
_atom_site_label
_atom_site_type_symbol
_atom_site_fract_x
_atom_site_fract_y
_atom_site_fract_z
_atom_site_occupancy
Ac1 Ac 0.000 0.250 0.125 1
V1 V 0.000 0.000 0.000 1
V2 V 0.000 0.250 0.375 1
Se1 Se 0.034 0.055 0.647 1



Entry 8:
# GGA-PBE K6Rb2NaS, relaxed
# ρ: 1.2 g/cm3
# Formation energy without anion corrections: -0.2596 eV/atom
data_K6Rb2NaS
_cell_length_a 9.258
_cell_length_b 9.787
_cell_length_c 9.787
_cell_angle_alpha 89.44
_cell_angle_beta 61.82
_cell_angle_gamma 61.82
_symmetry_space_group_name_H-M 'P 1'
_symmetry_Int_Tables_number 1
_symmetry_space_group_name_Hall 'P 1'
loop_
_atom_site_label
_atom_site_type_symbol
_atom_site_fract_x
_atom_site_fract_y
_atom_site_fract_z
_atom_site_occupancy
K1 K 0.000 0.000 0.000 1
K2 K 0.000 0.446 0.554 1
K3 K 0.038 0.426 0.981 1
K4 K 0.446 0.020 0.575 1
K5 K 0.554 0.426 0.980 1
K6 K 0.959 0.020 0.575 1
Rb1 Rb 0.498 0.508 0.495 1
Rb2 Rb 0.498 0.940 0.063 1
Na1 Na 0.000 0.722 0.276 1
S1 S 0.000 0.222 0.777 1



Q: Look up the ρ of the sixth one.
A: 11.2 g/cm3



Q: Which value of ρ does entry 8 give?
A: 1.2 g/cm3



Q: The highest ρ belongs to which entry?
A: TmIn2Au2